Record 1
A geometry-optimized Ga2ReRuN structure. Source: Alexandria, functional PBE-GGA.

Values from the calculation:
* symmetry: P4/mmm (123)
* E: -5.460 eV/atom
* Fermi-level density of states: 3.9 states/eV per cell

Unit cell a=4.751 b=4.751 c=4.740 alpha=90.00 beta=90.00 gamma=90.00
Atoms (fractional coordinates):
Ga 0.000 0.500 0.000
Ga 0.500 0.000 0.000
Re 0.000 0.000 0.500
Ru 0.000 0.000 0.000
N 0.500 0.500 0.500

---

Record 2
A geometry-optimized InAg2Se structure. Source: Alexandria, functional PBE-GGA.

Values from the calculation:
* symmetry: R3m (160)
* E: -3.000 eV/atom
* Fermi-level density of states: 0.7 states/eV per cell

Unit cell a=6.994 b=6.994 c=6.994 alpha=33.28 beta=33.28 gamma=33.28
Atoms (fractional coordinates):
In 0.000 0.000 0.000
Ag 0.246 0.246 0.246
Ag 0.497 0.497 0.497
Se 0.754 0.754 0.754

---

Record 3
A geometry-optimized CsBPt structure. Source: Alexandria, functional PBE-GGA.

Values from the calculation:
* symmetry: P-1 (2)
* ΔE to the lowest computed polymorph: 0.0 kJ/mol of atoms
* E: -4.605 eV/atom
* Fermi-level density of states: 2.3 states/eV per cell

Unit cell a=4.096 b=6.528 c=7.712 alpha=65.18 beta=74.91 gamma=89.98
Atoms (fractional coordinates):
Cs 0.097 0.346 0.306
Cs 0.903 0.654 0.694
B 0.163 0.910 0.178
B 0.837 0.090 0.822
Pt 0.316 0.068 0.866
Pt 0.684 0.932 0.134

---

Record 4
A geometry-optimized CuBS3 structure. Source: Alexandria, functional PBE-GGA.

Values from the calculation:
* symmetry: C2/m (12)
* ΔE to the lowest computed polymorph: 0.0 kJ/mol of atoms
* E: -4.770 eV/atom
* Fermi-level density of states: 4.1 states/eV per cell

Unit cell a=9.047 b=9.047 c=7.990 alpha=105.57 beta=105.57 gamma=19.40
Atoms (fractional coordinates):
Cu 0.129 0.129 0.220
Cu 0.871 0.871 0.780
B 0.444 0.444 0.142
B 0.556 0.556 0.858
S 0.003 0.003 0.754
S 0.203 0.203 0.491
S 0.353 0.353 0.983
S 0.647 0.647 0.017
S 0.797 0.797 0.509
S 0.997 0.997 0.246

---

Record 5
A geometry-optimized Li3Nd2Cu12Ni structure. Source: Alexandria, functional PBE-GGA.

Values from the calculation:
* symmetry: R-3m (166)
* E: -3.770 eV/atom
* Fermi-level density of states: 6.3 states/eV per cell

Unit cell a=10.316 b=10.316 c=10.316 alpha=32.65 beta=32.65 gamma=32.65
Atoms (fractional coordinates):
Li 0.000 0.500 0.500
Li 0.500 0.000 0.500
Li 0.500 0.500 0.000
Nd 0.145 0.145 0.145
Nd 0.855 0.855 0.855
Cu 0.087 0.087 0.675
Cu 0.087 0.675 0.087
Cu 0.139 0.581 0.581
Cu 0.325 0.913 0.913
Cu 0.419 0.419 0.861
Cu 0.419 0.861 0.419
Cu 0.581 0.139 0.581
Cu 0.581 0.581 0.139
Cu 0.675 0.087 0.087
Cu 0.861 0.419 0.419
Cu 0.913 0.325 0.913
Cu 0.913 0.913 0.325
Ni 0.500 0.500 0.500

---

Record 6
A geometry-optimized CePrTlBi structure. Source: Alexandria, functional PBE-GGA.

Values from the calculation:
* symmetry: F-43m (216)
* E: -4.674 eV/atom
* Fermi-level density of states: 9.8 states/eV per cell

Unit cell a=5.581 b=5.581 c=5.581 alpha=60.00 beta=60.00 gamma=60.00
Atoms (fractional coordinates):
Ce 0.000 0.000 0.000
Pr 0.500 0.500 0.500
Tl 0.750 0.750 0.750
Bi 0.250 0.250 0.250

---

Record 7
A geometry-optimized ZrTe structure. Source: Alexandria, functional PBE-GGA.

Values from the calculation:
* symmetry: P-3m1 (164)
* E: -6.342 eV/atom
* Fermi-level density of states: 12.1 states/eV per cell

Unit cell a=4.544 b=4.544 c=23.009 alpha=90.00 beta=90.00 gamma=120.00
Atoms (fractional coordinates):
Zr 0.000 0.000 0.126
Zr 0.000 0.000 0.874
Zr 0.333 0.667 0.207
Zr 0.333 0.667 0.460
Zr 0.667 0.333 0.540
Zr 0.667 0.333 0.793
Te 0.000 0.000 0.256
Te 0.000 0.000 0.744
Te 0.333 0.667 0.077
Te 0.333 0.667 0.589
Te 0.667 0.333 0.411
Te 0.667 0.333 0.923

---

Record 8
A geometry-optimized V2GaPt9 structure. Source: Alexandria, functional PBE-GGA.

Values from the calculation:
* symmetry: P4/mmm (123)
* E: -6.775 eV/atom
* Fermi-level density of states: 11.2 states/eV per cell

Unit cell a=3.923 b=3.923 c=11.812 alpha=90.00 beta=90.00 gamma=90.00
Atoms (fractional coordinates):
V 0.000 0.000 0.169
V 0.000 0.000 0.831
Ga 0.000 0.000 0.500
Pt 0.000 0.500 0.000
Pt 0.000 0.500 0.328
Pt 0.000 0.500 0.672
Pt 0.500 0.000 0.000
Pt 0.500 0.000 0.328
Pt 0.500 0.000 0.672
Pt 0.500 0.500 0.164
Pt 0.500 0.500 0.500
Pt 0.500 0.500 0.836

---

Question: Among the records above, which one has the lowest Fermi-level density of states?
Answer: InAg2Se

---

Question: Which formula does entry 3 have?
Answer: CsBPt

---

Question: E of number 4 (CuBS3)?
Answer: -4.770 eV/atom

---

Repeat the third record exactly.
A geometry-optimized CsBPt structure. Source: Alexandria, functional PBE-GGA.

Values from the calculation:
* symmetry: P-1 (2)
* ΔE to the lowest computed polymorph: 0.0 kJ/mol of atoms
* E: -4.605 eV/atom
* Fermi-level density of states: 2.3 states/eV per cell

Unit cell a=4.096 b=6.528 c=7.712 alpha=65.18 beta=74.91 gamma=89.98
Atoms (fractional coordinates):
Cs 0.097 0.346 0.306
Cs 0.903 0.654 0.694
B 0.163 0.910 0.178
B 0.837 0.090 0.822
Pt 0.316 0.068 0.866
Pt 0.684 0.932 0.134